This record from the Alexandria database describes an optimized crystal structure of Co2CuGe2. The functional is GGA-PBEsol.

The structure in POSCAR format:
```
Co2CuGe2
1.0
3.804 0.000 0.000
0.000 4.938 0.000
0.000 0.000 6.592
Ge Co Cu
4 4 2
direct
0.500 0.250 0.804 Ge
0.000 0.250 0.378 Ge
0.000 0.750 0.622 Ge
0.500 0.750 0.196 Ge
0.500 0.000 0.500 Co
0.500 0.250 0.160 Co
0.500 0.500 0.500 Co
0.500 0.750 0.840 Co
0.000 0.500 0.000 Cu
0.000 0.000 0.000 Cu
```

VASP energy = -6.183 eV per atom
M_tot = 0.7 μB/cell